## P
Compound: NdPuMn
Source: Alexandria
Functional: GGA-PBE
Structure: optimized geometry

Results
Fermi-level density of states, states/eV/cell: 20.21
V, Å³/cell: 295.3

Cell: 3.2876 15.9665 5.6259 Å, 90.00 90.00 90.00°
Space group Cmc2_1 (No. 36)
Asymmetric unit:
1 Nd 0.0000 0.1767 0.0000 x4
2 Pu 0.0000 0.4840 0.8336 x4
3 Mn 0.0000 0.3632 0.0098 x4

---

## Q
Compound: NdPuMn
Source: Alexandria
Functional: GGA-PBE
Structure: optimized geometry

Results
Fermi-level density of states, states/eV/cell: 11.82
V, Å³/cell: 140.9

Cell: 3.5036 3.5036 11.4805 Å, 90.00 90.00 90.00°
Space group I4mm (No. 107)
Asymmetric unit:
1 Nd 0.0000 0.0000 0.0000 x2
2 Pu 0.0000 0.0000 0.2872 x2
3 Mn 0.0000 0.0000 0.6846 x2

---

Most favorable structure: Q. The second most favorable one is 0.160 eV/atom above it.

---

## P
Compound: NdTh2Mn
Source: Alexandria
Functional: GGA-PBE
Structure: optimized geometry

Results
Fermi-level density of states, states/eV/cell: 14.39
V, Å³/cell: 350.2

Cell: 3.9734 3.9734 25.6157 Å, 90.00 90.00 120.00°
Space group R3m (No. 160, hexagonal axes)
Asymmetric unit:
1 Nd 0.0000 0.0000 0.0000 x3
2 Th 0.0000 0.0000 0.2270 x3
3 Th 0.0000 0.0000 0.4496 x3
4 Mn 0.0000 0.0000 0.8462 x3

---

## Q
Compound: NdTh2Mn
Source: Alexandria
Functional: GGA-PBE
Structure: optimized geometry

Results
Fermi-level density of states, states/eV/cell: 6.06
V, Å³/cell: 112.2

Cell: 3.5878 3.5878 8.7134 Å, 90.00 90.00 90.00°
Space group P4/mmm (No. 123)
Asymmetric unit:
1 Nd 0.0000 0.0000 0.0000 x1
2 Th 0.5000 0.5000 0.2982 x2
3 Mn 0.0000 0.0000 0.5000 x1

---

Most favorable structure: Q. The second most favorable one is 0.040 eV/atom above it.